! Ce3CuRu2 PBE relaxed; values from VASP
&SYSTEM
  ibrav = 0, nat = 6, ntyp = 3
/
ATOMIC_SPECIES
Ce 140.12 Ce.upf
Cu 63.55 Cu.upf
Ru 101.07 Ru.upf
ATOMIC_POSITIONS crystal
Ce 0.500 0.500 0.000
Ce 0.818 0.318 0.636
Ce 0.182 0.682 0.364
Cu 0.000 0.000 0.000
Ru 0.356 0.856 0.712
Ru 0.644 0.144 0.288
CELL_PARAMETERS angstrom
-2.250 3.991 -0.014
-1.522 -0.845 3.511
7.442 1.572 1.424
! Total magnetic moment in μB/cell: 0.00
! Crystal system: orthorhombic
! Formation energy in eV/atom: -0.29
! Total energy in eV/atom: -7.031

=====

! Ce2CuRu PBE relaxed; values from VASP
&SYSTEM
  ibrav = 0, nat = 16, ntyp = 3
/
ATOMIC_SPECIES
Ce 140.12 Ce.upf
Cu 63.55 Cu.upf
Ru 101.07 Ru.upf
ATOMIC_POSITIONS crystal
Ce 0.182 0.830 0.900
Ce 0.682 0.670 0.600
Ce 0.818 0.170 0.100
Ce 0.318 0.330 0.400
Ce 0.142 0.837 0.343
Ce 0.642 0.663 0.157
Ce 0.858 0.163 0.657
Ce 0.358 0.337 0.843
Cu 0.361 0.995 0.621
Cu 0.861 0.505 0.879
Cu 0.639 0.005 0.379
Cu 0.139 0.495 0.121
Ru 0.678 0.910 0.884
Ru 0.178 0.590 0.616
Ru 0.322 0.090 0.116
Ru 0.822 0.410 0.384
CELL_PARAMETERS angstrom
5.680 0.000 0.000
0.000 6.900 -0.338
0.000 0.309 8.665
! Total magnetic moment in μB/cell: 2.57
! Crystal system: monoclinic
! Formation energy in eV/atom: -0.25
! Total energy in eV/atom: -6.557

=====

! Ce6CuRu5 PBE relaxed; values from VASP
&SYSTEM
  ibrav = 0, nat = 12, ntyp = 3
/
ATOMIC_SPECIES
Ru 101.07 Ru.upf
Cu 63.55 Cu.upf
Ce 140.12 Ce.upf
ATOMIC_POSITIONS crystal
Ru 0.720 0.500 0.299
Ru 0.376 0.001 0.664
Ru 0.000 0.500 0.000
Ru 0.624 0.999 0.336
Ru 0.280 0.500 0.701
Cu 0.000 0.000 0.000
Ce 0.822 0.746 0.658
Ce 0.821 0.254 0.659
Ce 0.500 0.253 0.001
Ce 0.500 0.747 0.999
Ce 0.179 0.746 0.341
Ce 0.178 0.254 0.342
CELL_PARAMETERS angstrom
4.829 0.013 -1.072
0.017 6.866 -0.020
-1.008 -0.027 7.748
! Total magnetic moment in μB/cell: 0.00
! Crystal system: triclinic
! Formation energy in eV/atom: -0.28
! Total energy in eV/atom: -7.454

=====

! Ce2CuRu PBE relaxed; values from VASP
&SYSTEM
  ibrav = 0, nat = 4, ntyp = 3
/
ATOMIC_SPECIES
Ru 101.07 Ru.upf
Cu 63.55 Cu.upf
Ce 140.12 Ce.upf
ATOMIC_POSITIONS crystal
Ru 0.500 0.500 0.500
Cu 0.500 0.500 0.000
Ce 0.000 0.000 0.738
Ce 0.000 0.000 0.262
CELL_PARAMETERS angstrom
3.440 0.000 0.000
0.000 3.440 0.000
0.000 0.000 7.179
! Total magnetic moment in μB/cell: 0.02
! Crystal system: tetragonal
! Formation energy in eV/atom: -0.18
! Total energy in eV/atom: -6.491